! GGA-PBE CuAg2SBr, relaxed; values from VASP
! Crystal system   tetragonal
! ΔE_f (raw)   -38 kJ/mol of formula units
! Magnetization   0.00 μB/cell
&SYSTEM
  ibrav = 0, nat = 5, ntyp = 4
/
ATOMIC_SPECIES
Cu 63.55 Cu.upf
Ag 107.87 Ag.upf
S 32.06 S.upf
Br 79.90 Br.upf
CELL_PARAMETERS angstrom
5.0544 0.0000 0.0000
0.0000 5.0544 0.0000
0.0000 0.0000 4.3057
ATOMIC_POSITIONS angstrom
Cu 0.0000 0.0000 0.0000
Ag 0.0000 2.5272 2.1528
Ag 2.5272 0.0000 2.1528
S 0.0000 0.0000 2.1528
Br 2.5272 2.5272 0.0000